1.
This record from the Alexandria database describes an optimized crystal structure of Pm3Sm3PuSe8. The functional is PBE.

Output
For the formation energy (no corrections), the calculation gives -27.33 eV/f.u. The magnetization is 6.26 μB per cell. The value obtained for the density of states at the Fermi level is 17.03 states/eV per cell. The total energy is -6.530 eV per atom.

Cell lengths 8.3486, 8.3486, 8.3486 Å; angles 59.95, 59.95, 59.95 degrees
Positions (direct):
Pm 0.0000 0.5000 0.5000
Pm 0.5000 0.0000 0.5000
Pm 0.5000 0.5000 0.0000
Sm 0.0000 0.0000 0.5000
Sm 0.0000 0.5000 0.0000
Sm 0.5000 0.0000 0.0000
Pu 0.5000 0.5000 0.5000
Se 0.2472 0.7515 0.7515
Se 0.2485 0.2485 0.7528
Se 0.2485 0.7528 0.2485
Se 0.2493 0.2493 0.2493
Se 0.7507 0.7507 0.7507
Se 0.7515 0.2472 0.7515
Se 0.7515 0.7515 0.2472
Se 0.7528 0.2485 0.2485



2.
This record from the Alexandria database describes an optimized crystal structure of PmSm4Pu3Se8. The functional is PBE.

Output
For the formation energy (no corrections), the calculation gives -27.81 eV/f.u. The magnetization is 17.44 μB per cell. The value obtained for the density of states at the Fermi level is 25.94 states/eV per cell. The total energy is -7.645 eV per atom.

Cell lengths 8.3467, 8.3467, 8.3467 Å; angles 59.71, 59.71, 59.71 degrees
Positions (direct):
Pm 0.0000 0.0000 0.0000
Sm 0.0000 0.0000 0.5000
Sm 0.0000 0.5000 0.0000
Sm 0.5000 0.0000 0.0000
Sm 0.5000 0.5000 0.5000
Pu 0.0000 0.5000 0.5000
Pu 0.5000 0.0000 0.5000
Pu 0.5000 0.5000 0.0000
Se 0.2511 0.2511 0.2511
Se 0.2508 0.2508 0.7475
Se 0.2508 0.7475 0.2508
Se 0.2525 0.7492 0.7492
Se 0.7475 0.2508 0.2508
Se 0.7492 0.2525 0.7492
Se 0.7492 0.7492 0.2525
Se 0.7489 0.7489 0.7489



3.
This record from the Alexandria database describes an optimized crystal structure of PmSm2PuSe4. The functional is PBE.

Output
For the formation energy (no corrections), the calculation gives -14.14 eV/f.u. The magnetization is 5.89 μB per cell. The value obtained for the density of states at the Fermi level is 9.79 states/eV per cell. The total energy is -7.075 eV per atom.

Cell lengths 7.2317, 4.1538, 7.2344 Å; angles 90.00, 109.19, 90.00 degrees
Positions (direct):
Pm 0.0000 0.0000 0.0000
Sm 0.5000 0.0000 0.5000
Sm 0.5000 0.5000 0.0000
Pu 0.0000 0.5000 0.5000
Se 0.2486 0.0000 0.7473
Se 0.2503 0.5000 0.2524
Se 0.7497 0.5000 0.7476
Se 0.7514 0.0000 0.2527



4.
This record from the Alexandria database describes an optimized crystal structure of PmSm2Pu3Se6. The functional is PBE.

Output
For the formation energy (no corrections), the calculation gives -20.39 eV/f.u. The magnetization is 17.35 μB per cell. The value obtained for the density of states at the Fermi level is 27.47 states/eV per cell. The total energy is -8.207 eV per atom.

Cell lengths 9.3191, 9.3191, 8.3424 Å; angles 103.34, 103.34, 25.73 degrees
Positions (direct):
Pm 0.0000 0.0000 0.0000
Sm 0.3334 0.3334 0.6669
Sm 0.6666 0.6666 0.3331
Pu 0.0000 0.0000 0.5000
Pu 0.3336 0.3336 0.1668
Pu 0.6664 0.6664 0.8332
Se 0.1660 0.1660 0.5849
Se 0.1680 0.1680 0.0819
Se 0.4994 0.4994 0.2532
Se 0.5006 0.5006 0.7468
Se 0.8320 0.8320 0.9181
Se 0.8340 0.8340 0.4151



5.
This record from the Alexandria database describes an optimized crystal structure of Pm2Sm3PuSe6. The functional is PBE.

Output
For the formation energy (no corrections), the calculation gives -21.49 eV/f.u. The magnetization is 5.96 μB per cell. The value obtained for the density of states at the Fermi level is 10.14 states/eV per cell. The total energy is -6.699 eV per atom.

Cell lengths 9.3381, 9.3381, 8.3870 Å; angles 103.03, 103.03, 25.72 degrees
Positions (direct):
Pm 0.1651 0.1651 0.3306
Pm 0.8349 0.8349 0.6694
Sm 0.1672 0.1672 0.8353
Sm 0.5000 0.5000 0.5000
Sm 0.8328 0.8328 0.1647
Pu 0.5000 0.5000 0.0000
Se 0.0012 0.0012 0.7525
Se 0.3332 0.3332 0.4154
Se 0.3341 0.3341 0.9184
Se 0.6659 0.6659 0.0816
Se 0.6668 0.6668 0.5846
Se 0.9988 0.9988 0.2475



6.
This record from the Alexandria database describes an optimized crystal structure of Pm4Sm3PuSe8. The functional is PBE.

Output
For the formation energy (no corrections), the calculation gives -28.80 eV/f.u. The magnetization is 5.82 μB per cell. The value obtained for the density of states at the Fermi level is 14.41 states/eV per cell. The total energy is -6.510 eV per atom.

Cell lengths 8.3647, 8.3647, 8.3647 Å; angles 59.96, 59.96, 59.96 degrees
Positions (direct):
Pm 0.0000 0.0000 0.0000
Pm 0.0000 0.5000 0.5000
Pm 0.5000 0.0000 0.5000
Pm 0.5000 0.5000 0.0000
Sm 0.0000 0.0000 0.5000
Sm 0.0000 0.5000 0.0000
Sm 0.5000 0.0000 0.0000
Pu 0.5000 0.5000 0.5000
Se 0.2493 0.2493 0.2493
Se 0.2504 0.7483 0.7483
Se 0.2517 0.2517 0.7496
Se 0.2517 0.7496 0.2517
Se 0.7483 0.2504 0.7483
Se 0.7483 0.7483 0.2504
Se 0.7496 0.2517 0.2517
Se 0.7507 0.7507 0.7507



7.
This record from the Alexandria database describes an optimized crystal structure of SrPm3Pu2Se6. The functional is PBE.

Output
For the formation energy (no corrections), the calculation gives -21.08 eV/f.u. The magnetization is 11.82 μB per cell. The value obtained for the density of states at the Fermi level is 21.84 states/eV per cell. The total energy is -7.215 eV per atom.

Cell lengths 7.2898, 7.2898, 7.3305 Å; angles 99.57, 99.57, 119.99 degrees
Positions (direct):
Sr 0.0000 0.0000 0.0000
Pm 0.1637 0.8363 0.5000
Pm 0.5000 0.5000 0.5000
Pm 0.8363 0.1637 0.5000
Pu 0.3328 0.6672 0.0000
Pu 0.6672 0.3328 0.0000
Se 0.0843 0.4248 0.2518
Se 0.2584 0.2584 0.7520
Se 0.4248 0.0843 0.2518
Se 0.5752 0.9157 0.7482
Se 0.7416 0.7416 0.2480
Se 0.9157 0.5752 0.7482



8.
This record from the Alexandria database describes an optimized crystal structure of Sr2PmPuSe4. The functional is PBE.

Output
For the formation energy (no corrections), the calculation gives -14.63 eV/f.u. The magnetization is 5.99 μB per cell. The value obtained for the density of states at the Fermi level is 14.05 states/eV per cell. The total energy is -6.377 eV per atom.

Cell lengths 7.4106, 4.2805, 7.5334 Å; angles 90.00, 109.20, 90.00 degrees
Positions (direct):
Sr 0.0000 0.0000 0.0000
Sr 0.5000 0.5000 0.0000
Pm 0.0000 0.5000 0.5000
Pu 0.5000 0.0000 0.5000
Se 0.2460 0.0000 0.7376
Se 0.2556 0.5000 0.2640
Se 0.7444 0.5000 0.7360
Se 0.7540 0.0000 0.2624



9.
This record from the Alexandria database describes an optimized crystal structure of SrPmPu2Se4. The functional is PBE.

Output
For the formation energy (no corrections), the calculation gives -13.52 eV/f.u. The magnetization is 0.01 μB per cell. The value obtained for the density of states at the Fermi level is 24.18 states/eV per cell. The total energy is -7.819 eV per atom.

Cell lengths 7.3120, 4.2130, 7.3802 Å; angles 90.00, 109.53, 90.00 degrees
Positions (direct):
Sr 0.0000 0.0000 0.0000
Pm 0.0000 0.5000 0.5000
Pu 0.5000 0.0000 0.5000
Pu 0.5000 0.5000 0.0000
Se 0.2571 0.0000 0.7492
Se 0.2598 0.5000 0.2594
Se 0.7402 0.5000 0.7406
Se 0.7429 0.0000 0.2508



10.
This record from the Alexandria database describes an optimized crystal structure of Tb2PmPu3Se6. The functional is PBE.

Output
For the formation energy (no corrections), the calculation gives -20.20 eV/f.u. The magnetization is 5.77 μB per cell. The value obtained for the density of states at the Fermi level is 27.76 states/eV per cell. The total energy is -8.176 eV per atom.

Cell lengths 9.2440, 9.2440, 8.2703 Å; angles 102.53, 102.53, 25.81 degrees
Positions (direct):
Tb 0.1665 0.1665 0.3356
Tb 0.8335 0.8335 0.6644
Pm 0.5000 0.5000 0.0000
Pu 0.1654 0.1654 0.8347
Pu 0.5000 0.5000 0.5000
Pu 0.8346 0.8346 0.1653
Se 0.0017 0.0017 0.2545
Se 0.3313 0.3313 0.9126
Se 0.3321 0.3321 0.4171
Se 0.6679 0.6679 0.5829
Se 0.6687 0.6687 0.0874
Se 0.9983 0.9983 0.7455



Question: Which of these has the highest magnetization?
Answer: PmSm4Pu3Se8



Question: Among the records above, which one has the highest magnetization?
Answer: PmSm4Pu3Se8



Question: Which value of formation energy (no corrections) does entry 1 give?
Answer: -27.33 eV/f.u.